# SmU2PaAs4 GGA-PBE optimized geometry
data_SmU2PaAs4
_chemical_formula_sum 'Sm1 U2 Pa1 As4'
_cell_length_a 7.079
_cell_length_b 4.083
_cell_length_c 7.225
_cell_angle_alpha 90.00
_cell_angle_beta 109.04
_cell_angle_gamma 90.00
_symmetry_space_group_name_H-M 'P 1'
_symmetry_Int_Tables_number 1
_symmetry_space_group_name_Hall 'P 1'
loop_
_atom_site_label
_atom_site_fract_x
_atom_site_fract_y
_atom_site_fract_z
_atom_site_occupancy
Sm1 0.000 0.000 0.000 1
U1 0.000 0.500 0.500 1
U2 0.500 0.000 0.500 1
Pa1 0.500 0.500 0.000 1
As1 0.253 0.000 0.748 1
As2 0.256 0.500 0.255 1
As3 0.744 0.500 0.745 1
As4 0.747 0.000 0.252 1
# Space group: P2/m
# ΔE_f: -1.00 eV/atom
# DFT total energy: -7.9237 eV/atom